AlMoIO2 | PBE+U | relaxed

```
AlMoIO2
1.0
3.884 0.000 0.000
0.000 3.884 0.000
0.000 0.000 5.877
Mo I O Al
1 1 2 1
Direct
0.500 0.500 0.500
0.000 0.000 0.500
0.500 0.000 0.000
0.000 0.500 0.000
0.000 0.000 0.000
```

Summary:
* space group: P4/mmm
* electronic total energy: -5.01 eV/atom
* DOS at the Fermi energy: 0.535 states/eV/atom